[1]
V12Ga6Fe | PBE | relaxed

Geometry as extended XYZ:
```
19
Lattice="6.364 0.486 0.582 -0.484 6.364 0.582 -0.484 -0.564 6.365" Properties=species:S:1:pos:R:3 pbc="T T T"
V 4.679 3.407 3.521
V 2.114 5.058 3.982
V 2.659 2.546 5.688
V 0.716 2.878 4.008
V 3.281 1.227 3.548
V 2.736 3.739 1.842
V 0.149 0.724 2.507
V 4.702 3.865 6.829
V 3.108 5.783 6.370
V 5.245 5.562 5.023
V 0.693 2.420 0.701
V 2.287 0.502 1.160
Ga 4.114 5.809 2.577
Ga 4.538 1.992 1.354
Ga 0.277 4.633 2.202
Ga 1.281 0.477 4.952
Ga 0.857 4.293 6.176
Ga 5.118 1.652 5.328
Fe 0.000 0.000 0.000
```

Output
- Volume: 263.2 Å³/cell
- Symmetry: R-3
- Formation enthalpy at 0 K: -7 kJ per mole of atoms

---

[2]
VGa3Fe4 | PBE | relaxed

Geometry as extended XYZ:
```
8
Lattice="3.929 0.000 -1.060 -0.282 3.923 -1.044 -0.382 -0.436 6.390" Properties=species:S:1:pos:R:3 pbc="T T T"
Fe 1.083 1.147 4.010
Fe 2.181 2.340 0.276
Fe 0.358 0.379 1.328
Fe 2.907 3.107 2.957
Ga -0.141 1.961 -0.522
Ga 2.678 0.756 2.116
Ga 0.586 2.731 2.170
V 1.964 0.000 -0.530
```

Output
- Volume: 95.0 Å³/cell
- Symmetry: I4/mmm
- Formation enthalpy at 0 K: -17 kJ per mole of atoms

---

[3]
V2GaFe3 | PBE | relaxed

Geometry as extended XYZ:
```
12
Lattice="-0.087 1.616 -4.524 -1.009 -7.659 -2.716 -3.582 3.479 3.863" Properties=species:S:1:pos:R:3 pbc="T T T"
V -3.925 -3.852 -0.024
V -3.421 -0.022 1.333
V -1.257 -2.542 -4.710
V -0.752 1.288 -3.353
Ga -2.087 0.633 -1.010
Ga -2.591 -3.197 -2.367
Fe -0.757 -5.744 -2.037
Fe -0.252 -1.915 -0.679
Fe -0.800 -4.936 -4.299
Fe -1.791 1.740 1.931
Fe -2.295 -2.090 0.573
Fe -0.296 -1.107 -2.941
```

Output
- Volume: 163.7 Å³/cell
- Symmetry: P6/mmm
- Formation enthalpy at 0 K: 18 kJ per mole of atoms

---

[4]
V2Ga2Fe | PBE | relaxed

Geometry as extended XYZ:
```
5
Lattice="3.569 0.000 0.000 0.000 3.569 0.000 1.785 1.785 6.035" Properties=species:S:1:pos:R:3 pbc="T T T"
Fe 0.000 0.000 0.000
Ga 3.569 1.785 3.018
Ga 1.785 3.569 3.018
V 1.785 1.785 1.012
V 3.569 3.569 5.023
```

Output
- Volume: 76.9 Å³/cell
- Symmetry: I4/mmm
- Formation enthalpy at 0 K: 39 kJ per mole of atoms

---

[5]
V8GaFe2 | PBE | relaxed

Geometry as extended XYZ:
```
11
Lattice="-3.402 0.368 -3.187 -5.369 0.216 4.494 -3.924 4.656 3.464" Properties=species:S:1:pos:R:3 pbc="T T T"
V -6.524 4.155 3.248
V -5.454 3.288 1.011
V -7.687 3.866 5.878
V -5.008 1.374 -1.107
V -7.241 1.952 3.759
V -6.171 1.085 1.522
V -8.531 3.200 1.823
V -4.164 2.040 2.948
Ga 0.000 0.000 0.000
Fe -8.997 3.843 3.941
Fe -3.698 1.396 0.829
```

Output
- Volume: 145.9 Å³/cell
- Symmetry: C2/m
- Formation enthalpy at 0 K: 2 kJ per mole of atoms

---

[6]
VGaFe | PBE | relaxed

Geometry as extended XYZ:
```
3
Lattice="2.881 0.000 0.000 0.000 2.881 0.000 -1.441 -1.441 4.540" Properties=species:S:1:pos:R:3 pbc="T T T"
Fe 1.441 1.441 0.989
Ga 0.000 0.000 2.513
V 1.441 1.441 4.216
```

Output
- Volume: 37.7 Å³/cell
- Symmetry: I4mm
- Formation enthalpy at 0 K: -18 kJ per mole of atoms

---

[7]
VGa2Fe | PBE | relaxed

Geometry as extended XYZ:
```
4
Lattice="-0.435 1.531 2.319 2.200 -1.243 1.233 4.004 4.732 -2.373" Properties=species:S:1:pos:R:3 pbc="T T T"
Fe 0.883 0.144 1.776
Ga 3.096 3.660 -1.835
Ga 0.908 1.073 -0.538
V 2.885 2.510 0.589
```

Output
- Volume: 52.5 Å³/cell
- Symmetry: P4/mmm
- Formation enthalpy at 0 K: -8 kJ per mole of atoms

---

[8]
VGaFe | PBE | relaxed

Geometry as extended XYZ:
```
6
Lattice="3.649 0.000 1.180 1.868 4.747 0.455 0.483 -1.884 4.738" Properties=species:S:1:pos:R:3 pbc="T T T"
V 3.410 3.394 1.919
V 2.590 -0.531 4.454
Ga 3.338 0.687 2.143
Ga 2.663 2.176 4.230
Fe 0.989 0.538 3.174
Fe 1.362 2.325 2.020
```

Output
- Volume: 78.3 Å³/cell
- Symmetry: Immm
- Formation enthalpy at 0 K: -7 kJ per mole of atoms

---

[9]
VGaFe | PBE | relaxed

Geometry as extended XYZ:
```
3
Lattice="-2.068 -0.169 -1.560 -2.365 -0.982 3.241 0.488 3.958 -1.077" Properties=species:S:1:pos:R:3 pbc="T T T"
Fe -0.024 -0.002 -0.018
Ga -1.944 2.190 -0.755
V -1.976 0.618 1.378
```

Output
- Volume: 38.4 Å³/cell
- Symmetry: P3m1
- Formation enthalpy at 0 K: -15 kJ per mole of atoms

---

[10]
VGaFe | PBE | relaxed

Geometry as extended XYZ:
```
3
Lattice="-0.124 -1.566 -2.289 -1.576 -2.286 -0.035 -5.226 1.958 -2.741" Properties=species:S:1:pos:R:3 pbc="T T T"
Ga -0.593 -1.265 -0.786
V -2.880 -1.352 -2.287
Fe -3.655 0.865 -2.078
```

Output
- Volume: 40.1 Å³/cell
- Symmetry: R3m
- Formation enthalpy at 0 K: 3 kJ per mole of atoms

---

[11]
V2Ga2Fe | PBE | relaxed

Geometry as extended XYZ:
```
10
Lattice="-5.331 -3.552 -0.340 3.000 -4.792 3.030 -1.024 1.250 2.990" Properties=species:S:1:pos:R:3 pbc="T T T"
Fe 0.000 0.000 0.000
Fe -1.165 -4.172 1.345
Ga 0.648 -5.448 2.499
Ga -2.712 -6.115 1.628
Ga -2.978 -2.896 0.191
Ga 0.382 -2.230 1.063
V 0.591 -3.193 3.469
V -1.596 -5.732 3.781
V -3.945 -3.902 2.212
V -1.757 -1.363 1.899
```

Output
- Volume: 139.9 Å³/cell
- Symmetry: P4/mbm
- Formation enthalpy at 0 K: -2 kJ per mole of atoms

---

[12]
V15Ga2Fe2 | PBE | relaxed

Geometry as extended XYZ:
```
19
Lattice="5.021 -4.163 -0.125 5.021 4.163 -0.125 1.729 0.000 6.291" Properties=species:S:1:pos:R:3 pbc="T T T"
V 2.511 -2.082 -0.062
V 0.864 0.000 3.145
V 2.511 2.082 -0.062
V 2.694 1.221 4.409
V 5.021 1.721 -0.125
V 4.055 -2.942 1.757
V 5.021 -1.721 -0.125
V 2.694 -1.221 4.409
V 4.055 2.942 1.757
V 6.767 -1.923 2.225
V 5.247 0.000 5.188
V 6.767 1.923 2.225
V 5.004 1.923 3.816
V 6.524 0.000 0.853
V 5.004 -1.923 3.816
Ga 8.277 0.000 4.248
Ga 3.494 0.000 1.793
Fe 10.690 0.000 5.486
Fe 1.081 0.000 0.555
```

Output
- Volume: 264.8 Å³/cell
- Symmetry: R-3m
- Formation enthalpy at 0 K: 26 kJ per mole of atoms